Record 1
Compound: CeH3Pt
Source: Alexandria
Functional: PBE-GGA
Structure: relaxed

Geometry as extended XYZ:
```
10
Lattice="6.190 -1.835 0.000 6.190 1.835 0.000 -1.751 0.000 4.996" Properties=species:S:1:pos:R:3 pbc="T T T"
Ce 0.820 0.000 1.508
Ce 9.808 0.000 3.489
H 0.231 0.000 4.111
H 2.975 0.000 2.281
H 5.653 0.000 0.864
H 4.976 0.000 4.132
H 7.654 0.000 2.715
H 10.397 0.000 0.885
Pt 3.981 0.000 0.638
Pt 6.648 0.000 4.358
```

Calculated total energy (eV/cell): -48.11
SG: No. 12


Record 2
Compound: SiBPb3
Source: Alexandria
Functional: PBE-GGA
Structure: relaxed

Geometry as extended XYZ:
```
5
Lattice="5.017 0.000 0.000 0.000 5.017 0.000 0.000 0.000 5.017" Properties=species:S:1:pos:R:3 pbc="T T T"
Si 0.000 0.000 0.000
B 2.508 2.508 2.508
Pb 0.000 2.508 2.508
Pb 2.508 0.000 2.508
Pb 2.508 2.508 0.000
```

Formation energy (no corrections) (eV/atom): 0.867
ΔE to the lowest computed polymorph (meV/atom): 0.0
SG: No. 221


Record 3
Compound: OsCN2F
Source: Alexandria
Functional: PBE-GGA
Structure: relaxed

Geometry as extended XYZ:
```
5
Lattice="3.646 0.000 0.000 0.000 3.646 0.000 0.000 0.000 3.128" Properties=species:S:1:pos:R:3 pbc="T T T"
Os 0.000 0.000 0.000
C 1.823 1.823 1.564
N 0.000 1.823 1.564
N 1.823 0.000 1.564
F 1.823 1.823 0.000
```

Formation energy (no corrections) (eV/atom): 2.158
ΔE to the lowest computed polymorph (meV/atom): 487.7
SG: No. 123


Record 4
Compound: Sr3Cu2O4F4
Source: Alexandria
Functional: PBE-GGA
Structure: relaxed

Geometry as extended XYZ:
```
13
Lattice="-1.913 1.913 11.751 1.913 -1.913 11.751 1.913 1.913 -11.751" Properties=species:S:1:pos:R:3 pbc="T T T"
Sr 0.000 0.000 0.000
Sr 0.000 0.000 4.029
Sr 0.000 0.000 19.474
Cu 0.000 0.000 9.667
Cu 0.000 0.000 13.835
O 1.913 0.000 2.139
O 1.913 0.000 9.612
O 0.000 1.913 1.978
O 0.000 1.913 9.773
F 0.000 0.000 7.593
F 0.000 0.000 11.751
F 0.000 0.000 15.909
F 0.000 1.913 5.876
```

Formation energy (no corrections) (eV/atom): -2.239
SG: No. 119


Record 5
Compound: LiTl2GeRh
Source: Alexandria
Functional: PBE-GGA
Structure: relaxed

Geometry as extended XYZ:
```
5
Lattice="5.481 0.000 0.000 0.000 5.481 0.000 0.000 0.000 4.678" Properties=species:S:1:pos:R:3 pbc="T T T"
Li 0.000 0.000 0.000
Tl 0.000 2.740 2.339
Tl 2.740 0.000 2.339
Ge 2.740 2.740 2.339
Rh 2.740 2.740 0.000
```

Formation enthalpy at 0 K (meV/atom): 373
SG: No. 123


Record 6
Compound: Sm4Dy5Sc2
Source: Alexandria
Functional: PBE-GGA
Structure: relaxed

Geometry as extended XYZ:
```
11
Lattice="11.760 -1.747 0.000 11.760 1.747 0.000 -0.726 0.000 8.481" Properties=species:S:1:pos:R:3 pbc="T T T"
Sm 0.655 0.000 2.944
Sm 6.362 0.000 1.481
Sm 16.430 0.000 7.000
Sm 22.138 0.000 5.537
Dy 3.006 0.000 0.341
Dy 3.954 0.000 4.034
Dy 11.760 0.000 0.000
Dy 18.839 0.000 4.447
Dy 19.787 0.000 8.139
Sc 9.476 0.000 2.568
Sc 13.317 0.000 5.913
```

Formation enthalpy at 0 K (meV/atom): 113
ΔE to the lowest computed polymorph (meV/atom): 75.0
SG: No. 12